[1]
{"formula": "YAl2Hg", "functional": "GGA-PBE", "state": "optimized geometry", "lattice_angstrom": [[-5.3794, -1.6648, -0.8614], [-0.6169, -4.8921, -2.8527], [3.0537, 1.7402, 4.4831]], "species": ["Y", "Hg", "Al", "Al"], "fractional_positions": [[0.7500, 0.2500, 0.5000], [0.2500, 0.7500, 0.5000], [0.0000, 0.0000, 0.0000], [0.5000, 0.5000, 0.0000]], "sg": "No. 139", "rho_g_cm3": 6.4, "e_above_lowest_polymorph_mev_per_atom": 186.4, "n_ef_per_ev_atom": 0.83, "crystal_system": "tetragonal", "magnetic_moment_mub_per_fu": 0.000, "e_form_ev_per_fu": -0.649}



[2]
{"formula": "YAlHg", "functional": "GGA-PBE", "state": "optimized geometry", "lattice_angstrom": [[6.2586, 0.8502, -0.2920], [3.8630, 4.9990, 0.2903], [-4.9155, -3.1769, 2.3962]], "species": ["Y", "Hg", "Al"], "fractional_positions": [[0.6627, 0.6624, 0.0002], [0.3468, 0.3472, 0.9996], [0.9906, 0.9903, 0.0002]], "sg": "No. 107", "rho_g_cm3": 7.7, "e_above_lowest_polymorph_mev_per_atom": 214.8, "n_ef_per_ev_atom": 0.75, "crystal_system": "tetragonal", "magnetic_moment_mub_per_fu": 0.004, "e_form_ev_per_fu": -0.802}



[3]
{"formula": "Y4Al2Hg", "functional": "GGA-PBE", "state": "optimized geometry", "lattice_angstrom": [[4.9101, 0.0000, 1.5340], [2.2154, 4.3819, 1.5340], [-0.0636, -0.0391, 8.8287]], "species": ["Y", "Y", "Y", "Y", "Al", "Al", "Hg"], "fractional_positions": [[0.8709, 0.8709, 0.3873], [0.1291, 0.1291, 0.6127], [0.6188, 0.6188, 0.1435], [0.3812, 0.3812, 0.8565], [0.7493, 0.7493, 0.7520], [0.2507, 0.2507, 0.2480], [0.0000, 0.0000, 0.0000]], "sg": "No. 166", "rho_g_cm3": 5.3, "n_ef_per_ev_atom": 0.91, "crystal_system": "trigonal", "magnetic_moment_mub_per_fu": 0.000, "e_form_ev_per_fu": -2.042}



[4]
{"formula": "Y6AlHg5", "functional": "GGA-PBE", "state": "optimized geometry", "lattice_angstrom": [[-1.4926, -4.9190, -0.9688], [1.4703, 0.9806, -7.2439], [8.1274, -0.0260, 1.6461]], "species": ["Y", "Y", "Y", "Y", "Y", "Y", "Al", "Hg", "Hg", "Hg", "Hg", "Hg"], "fractional_positions": [[0.8349, 0.7522, 0.6691], [0.8349, 0.2479, 0.6691], [0.5000, 0.2473, 0.0000], [0.5000, 0.7527, 0.0000], [0.1651, 0.7521, 0.3309], [0.1651, 0.2478, 0.3309], [0.0000, 0.0000, 0.0000], [0.6655, 0.5000, 0.3315], [0.3358, 0.0000, 0.6709], [0.0000, 0.5000, 0.0000], [0.6642, 0.0000, 0.3291], [0.3345, 0.5000, 0.6685]], "sg": "No. 10", "rho_g_cm3": 8.5, "n_ef_per_ev_atom": 0.89, "crystal_system": "monoclinic", "magnetic_moment_mub_per_fu": 0.001, "e_form_ev_per_fu": -5.865}



[5]
{"formula": "YAl2Hg", "functional": "GGA-PBE", "state": "optimized geometry", "lattice_angstrom": [[3.5955, 0.0883, 0.0000], [-0.4767, 3.5649, 0.0000], [0.0000, 0.0000, 6.8780]], "species": ["Y", "Hg", "Al", "Al"], "fractional_positions": [[0.5000, 0.5000, 0.7500], [0.5000, 0.5000, 0.2500], [0.0000, 0.0000, 0.0365], [0.0000, 0.0000, 0.4635]], "sg": "No. 65", "rho_g_cm3": 6.4, "e_above_lowest_polymorph_mev_per_atom": 228.7, "n_ef_per_ev_atom": 0.78, "crystal_system": "orthorhombic", "magnetic_moment_mub_per_fu": 0.283, "e_form_ev_per_fu": -0.480}



[6]
{"formula": "Y4Al2Hg5", "functional": "GGA-PBE", "state": "optimized geometry", "lattice_angstrom": [[3.7095, 0.0000, 0.0000], [0.0000, 7.8377, 0.1267], [0.0000, 0.2503, 9.3741]], "species": ["Y", "Y", "Y", "Y", "Al", "Al", "Hg", "Hg", "Hg", "Hg", "Hg"], "fractional_positions": [[0.5000, 0.7459, 0.6063], [0.5000, 0.2066, 0.8616], [0.5000, 0.2541, 0.3937], [0.5000, 0.7934, 0.1384], [0.0000, 0.0665, 0.6227], [0.0000, 0.9335, 0.3773], [0.0000, 0.5822, 0.3497], [0.0000, 0.1336, 0.1300], [0.0000, 0.5000, 0.0000], [0.0000, 0.8664, 0.8700], [0.0000, 0.4178, 0.6503]], "sg": "No. 10", "rho_g_cm3": 8.6, "n_ef_per_ev_atom": 0.57, "crystal_system": "monoclinic", "magnetic_moment_mub_per_fu": 0.000, "e_form_ev_per_fu": -4.539}